# 1
# PrSm2MgO

A geometry-optimized PrSm2MgO structure (PBE, Alexandria).

Values from the calculation:
The value obtained for the energy relative to the elements, uncorrected is -5.9 eV per formula unit.

a = 5.091 Å, b = 4.942 Å, c = 4.942 Å
α = 90.00°, β = 90.00°, γ = 90.00°
Positions (direct):
Pr (0.500, 0.000, 0.000)
Sm (0.000, 0.000, 0.500)
Sm (0.000, 0.500, 0.000)
Mg (0.500, 0.500, 0.500)
O (0.000, 0.000, 0.000)


# 2
# CsAgTe2As

A geometry-optimized CsAgTe2As structure (PBE, Alexandria).

Values from the calculation:
The value obtained for the energy relative to the elements, uncorrected is -0.9 eV per formula unit.

a = 6.009 Å, b = 7.878 Å, c = 9.193 Å
α = 115.37°, β = 90.00°, γ = 90.00°
Positions (direct):
Cs (0.195, 0.750, 0.500)
Cs (0.805, 0.250, 0.500)
Ag (0.000, 0.000, 0.000)
Ag (0.000, 0.500, 0.000)
Te (0.676, 0.889, 0.778)
Te (0.676, 0.611, 0.222)
Te (0.324, 0.389, 0.778)
Te (0.324, 0.111, 0.222)
As (0.500, 0.750, 0.000)
As (0.500, 0.250, 0.000)


# 3
# LaTcBr2

A geometry-optimized LaTcBr2 structure (PBE, Alexandria).

Values from the calculation:
The value obtained for the energy relative to the elements, uncorrected is -1.6 eV per formula unit.

a = 6.255 Å, b = 6.255 Å, c = 5.603 Å
α = 90.59°, β = 90.59°, γ = 32.86°
Positions (direct):
Tc (0.176, 0.176, 0.343)
Br (0.018, 0.018, 0.032)
Br (0.784, 0.784, 0.573)
La (0.523, 0.523, 0.552)


# 4
# Ac3P2RhN6

A geometry-optimized Ac3P2RhN6 structure (PBE, Alexandria).

Values from the calculation:
The value obtained for the energy relative to the elements, uncorrected is -9.5 eV per formula unit.

a = 5.646 Å, b = 5.646 Å, c = 6.758 Å
α = 90.00°, β = 90.00°, γ = 120.00°
Positions (direct):
Ac (0.333, 0.667, 0.658)
Ac (0.667, 0.333, 0.342)
Ac (0.000, 0.000, 0.000)
P (0.667, 0.333, 0.790)
P (0.333, 0.667, 0.210)
Rh (0.000, 0.000, 0.500)
N (0.654, 0.827, 0.295)
N (0.173, 0.346, 0.295)
N (0.173, 0.827, 0.295)
N (0.827, 0.654, 0.705)
N (0.346, 0.173, 0.705)
N (0.827, 0.173, 0.705)


# 5
# Sr2Pd5Pt2Au

A geometry-optimized Sr2Pd5Pt2Au structure (PBE, Alexandria).

Values from the calculation:
The energy relative to the elements comes out at -0.3952 eV per atom.

a = 3.983 Å, b = 9.937 Å, c = 9.937 Å
α = 90.00°, β = 90.00°, γ = 90.00°
Positions (direct):
Sr (0.000, 0.674, 0.174)
Sr (0.000, 0.326, 0.826)
Sr (0.000, 0.174, 0.326)
Sr (0.000, 0.826, 0.674)
Pd (0.500, 0.199, 0.060)
Pd (0.500, 0.801, 0.940)
Pd (0.500, 0.060, 0.801)
Pd (0.500, 0.699, 0.440)
Pd (0.500, 0.940, 0.199)
Pd (0.500, 0.301, 0.560)
Pd (0.500, 0.560, 0.699)
Pd (0.500, 0.440, 0.301)
Pd (0.500, 0.500, 0.000)
Pd (0.500, 0.000, 0.500)
Pt (0.000, 0.125, 0.625)
Pt (0.000, 0.875, 0.375)
Pt (0.000, 0.625, 0.875)
Pt (0.000, 0.375, 0.125)
Au (0.000, 0.000, 0.000)
Au (0.000, 0.500, 0.500)


# 6
# Pm6CN3O2

A geometry-optimized Pm6CN3O2 structure (PBE, Alexandria).

Values from the calculation:
The value obtained for the energy relative to the elements, uncorrected is -21.0 eV per formula unit.

a = 6.252 Å, b = 6.252 Å, c = 6.263 Å
α = 99.59°, β = 99.59°, γ = 120.00°
Positions (direct):
Pm (0.915, 0.584, 0.745)
Pm (0.754, 0.754, 0.254)
Pm (0.085, 0.416, 0.255)
Pm (0.584, 0.915, 0.745)
Pm (0.246, 0.246, 0.746)
Pm (0.416, 0.085, 0.255)
C (0.000, 0.000, 0.000)
N (0.164, 0.836, 0.500)
N (0.836, 0.164, 0.500)
N (0.500, 0.500, 0.500)
O (0.333, 0.667, 0.000)
O (0.667, 0.333, 0.000)


# 7
# IrAuNF

A geometry-optimized IrAuNF structure (PBE, Alexandria).

Values from the calculation:
The value obtained for the energy relative to the elements, uncorrected is 0.1 eV per formula unit.

a = 3.027 Å, b = 5.319 Å, c = 5.499 Å
α = 102.43°, β = 106.03°, γ = 94.61°
Positions (direct):
Ir (0.338, 0.492, 0.192)
Au (0.136, 0.624, 0.750)
N (0.948, 0.652, 0.367)
F (0.720, 0.211, 0.036)


# 8
# MgGa2BO6

A geometry-optimized MgGa2BO6 structure (PBE, Alexandria).

Values from the calculation:
The value obtained for the energy relative to the elements, uncorrected is -19.4 eV per formula unit.

a = 5.249 Å, b = 6.887 Å, c = 6.887 Å
α = 95.12°, β = 73.74°, γ = 73.74°
Positions (direct):
Mg (0.250, 0.900, 0.100)
Mg (0.750, 0.100, 0.900)
Ga (0.370, 0.765, 0.563)
Ga (0.130, 0.437, 0.235)
Ga (0.630, 0.235, 0.437)
Ga (0.870, 0.563, 0.765)
B (0.250, 0.167, 0.833)
B (0.750, 0.833, 0.167)
O (0.192, 0.965, 0.808)
O (0.308, 0.192, 0.035)
O (0.808, 0.035, 0.192)
O (0.692, 0.808, 0.965)
O (0.480, 0.849, 0.319)
O (0.020, 0.681, 0.151)
O (0.520, 0.151, 0.681)
O (0.980, 0.319, 0.849)
O (0.065, 0.675, 0.559)
O (0.435, 0.441, 0.325)
O (0.935, 0.325, 0.441)
O (0.565, 0.559, 0.675)


# 9
# Dy2YIn3Te6

A geometry-optimized Dy2YIn3Te6 structure (PBE, Alexandria).

Values from the calculation:
The value obtained for the energy relative to the elements, uncorrected is -11.7 eV per formula unit.

a = 7.641 Å, b = 7.641 Å, c = 8.505 Å
α = 98.61°, β = 98.61°, γ = 120.00°
Positions (direct):
Dy (0.333, 0.667, 0.000)
Dy (0.667, 0.333, 0.000)
Y (0.000, 0.000, 0.000)
In (0.166, 0.834, 0.500)
In (0.834, 0.166, 0.500)
In (0.500, 0.500, 0.500)
Te (0.927, 0.593, 0.781)
Te (0.739, 0.739, 0.219)
Te (0.073, 0.407, 0.219)
Te (0.593, 0.927, 0.781)
Te (0.261, 0.261, 0.781)
Te (0.407, 0.073, 0.219)


# 10
# Sr2LiH2

A geometry-optimized Sr2LiH2 structure (PBE, Alexandria).

Values from the calculation:
The calculation puts the total energy at -13.50 eV/f.u.

a = 4.177 Å, b = 4.177 Å, c = 7.745 Å
α = 74.36°, β = 74.36°, γ = 90.00°
Positions (direct):
Sr (0.342, 0.342, 0.316)
Sr (0.658, 0.658, 0.684)
H (0.750, 0.250, 0.500)
H (0.250, 0.750, 0.500)
Li (0.000, 0.000, 0.000)


# 11
# TaTi5Re6

A geometry-optimized TaTi5Re6 structure (PBE, Alexandria).

Values from the calculation:
The energy relative to the elements comes out at -0.4150 eV per atom.

a = 4.425 Å, b = 6.270 Å, c = 6.998 Å
α = 90.00°, β = 108.45°, γ = 90.00°
Positions (direct):
Re (0.833, 0.749, 0.665)
Re (0.833, 0.251, 0.665)
Re (0.500, 0.252, 0.000)
Re (0.500, 0.748, 0.000)
Re (0.167, 0.749, 0.335)
Re (0.167, 0.251, 0.335)
Ti (0.667, 0.500, 0.334)
Ti (0.332, 0.000, 0.664)
Ti (0.000, 0.500, 0.000)
Ti (0.668, 0.000, 0.336)
Ti (0.333, 0.500, 0.666)
Ta (0.000, 0.000, 0.000)


# 12
# PuCdCu2O6

A geometry-optimized PuCdCu2O6 structure (PBE, Alexandria).

Values from the calculation:
The value obtained for the energy relative to the elements, uncorrected is -13.7 eV per formula unit.

a = 5.590 Å, b = 6.985 Å, c = 6.985 Å
α = 88.32°, β = 83.64°, γ = 83.64°
Positions (direct):
Pu (0.250, 0.276, 0.724)
Pu (0.750, 0.724, 0.276)
Cd (0.250, 0.913, 0.087)
Cd (0.750, 0.087, 0.913)
Cu (0.185, 0.772, 0.600)
Cu (0.315, 0.400, 0.228)
Cu (0.815, 0.228, 0.400)
Cu (0.685, 0.600, 0.772)
O (0.132, 0.990, 0.775)
O (0.368, 0.225, 0.010)
O (0.868, 0.010, 0.225)
O (0.632, 0.775, 0.990)
O (0.423, 0.835, 0.379)
O (0.077, 0.621, 0.165)
O (0.577, 0.165, 0.621)
O (0.923, 0.379, 0.835)
O (0.368, 0.549, 0.709)
O (0.132, 0.291, 0.451)
O (0.632, 0.451, 0.291)
O (0.868, 0.709, 0.549)


# 13
# MgSbN

A geometry-optimized MgSbN structure (PBE, Alexandria).

Values from the calculation:
The value obtained for the energy relative to the elements, uncorrected is -0.2 eV per formula unit.

a = 5.607 Å, b = 6.453 Å, c = 8.737 Å
α = 44.90°, β = 33.21°, γ = 58.10°
Positions (direct):
Mg (0.587, 0.623, 0.719)
Mg (0.484, 0.823, 0.322)
Sb (0.374, 0.078, 0.842)
Sb (0.518, 0.400, 0.198)
N (0.260, 0.761, 0.255)
N (0.230, 0.496, 0.785)


# 14
# La2YBe

A geometry-optimized La2YBe structure (PBE, Alexandria).

Values from the calculation:
The energy relative to the elements comes out at 0.1365 eV per atom.

a = 3.693 Å, b = 3.693 Å, c = 8.575 Å
α = 90.00°, β = 90.00°, γ = 90.00°
Positions (direct):
Y (0.500, 0.500, 0.250)
Be (0.500, 0.500, 0.750)
La (0.000, 0.000, 0.943)
La (0.000, 0.000, 0.557)


# 15
# AgPd2C

A geometry-optimized AgPd2C structure (PBE, Alexandria).

Values from the calculation:
The energy relative to the elements comes out at 0.4717 eV per atom.

a = 6.529 Å, b = 6.529 Å, c = 5.419 Å
α = 52.95°, β = 52.95°, γ = 90.00°
Positions (direct):
C (0.500, 0.500, 0.000)
C (0.250, 0.750, 0.500)
Pd (0.511, 0.125, 0.250)
Pd (0.239, 0.625, 0.250)
Pd (0.375, 0.489, 0.750)
Pd (0.875, 0.761, 0.750)
Ag (0.000, 0.000, 0.000)
Ag (0.750, 0.250, 0.500)


# 16
# Cd2CuNi

A geometry-optimized Cd2CuNi structure (PBE, Alexandria).

Values from the calculation:
The energy relative to the elements comes out at 0.1734 eV per atom.

a = 9.457 Å, b = 9.457 Å, c = 9.457 Å
α = 17.47°, β = 17.47°, γ = 17.47°
Positions (direct):
Cd (0.012, 0.012, 0.012)
Cd (0.240, 0.240, 0.240)
Cu (0.490, 0.490, 0.490)
Ni (0.758, 0.758, 0.758)


# 17
# La2PmY7

A geometry-optimized La2PmY7 structure (PBE, Alexandria).

Values from the calculation:
The energy relative to the elements comes out at 0.0236 eV per atom.

a = 6.238 Å, b = 8.109 Å, c = 9.576 Å
α = 120.53°, β = 89.44°, γ = 121.35°
Positions (direct):
La (0.400, 0.599, 0.397)
La (0.600, 0.401, 0.603)
Pm (0.000, 0.000, 0.000)
Y (0.100, 0.902, 0.602)
Y (0.900, 0.098, 0.398)
Y (0.302, 0.702, 0.802)
Y (0.698, 0.298, 0.198)
Y (0.198, 0.798, 0.198)
Y (0.802, 0.202, 0.802)
Y (0.500, 0.500, 0.000)


# 18
# Sm2PaTl3Se6

A geometry-optimized Sm2PaTl3Se6 structure (PBE, Alexandria).

Values from the calculation:
The value obtained for the energy relative to the elements, uncorrected is -14.7 eV per formula unit.

a = 7.319 Å, b = 7.319 Å, c = 8.219 Å
α = 98.53°, β = 98.53°, γ = 119.97°
Positions (direct):
Sm (0.334, 0.666, 0.000)
Sm (0.666, 0.334, 0.000)
Pa (0.000, 0.000, 0.000)
Tl (0.169, 0.831, 0.500)
Tl (0.831, 0.169, 0.500)
Tl (0.500, 0.500, 0.500)
Se (0.931, 0.605, 0.792)
Se (0.745, 0.745, 0.210)
Se (0.069, 0.395, 0.208)
Se (0.605, 0.931, 0.792)
Se (0.255, 0.255, 0.790)
Se (0.395, 0.069, 0.208)


# 19
# BeNi2

A geometry-optimized BeNi2 structure (PBE, Alexandria).

Values from the calculation:
The energy relative to the elements comes out at -0.0096 eV per atom.

a = 3.557 Å, b = 3.557 Å, c = 3.557 Å
α = 60.00°, β = 60.00°, γ = 60.00°
Positions (direct):
Ni (0.750, 0.750, 0.750)
Ni (0.250, 0.250, 0.250)
Be (0.000, 0.000, 0.000)


# 20
# CrCo2Ni2

A geometry-optimized CrCo2Ni2 structure (PBE, Alexandria).

Values from the calculation:
The energy relative to the elements comes out at 0.2865 eV per atom.

a = 6.814 Å, b = 6.814 Å, c = 2.466 Å
α = 90.00°, β = 90.00°, γ = 90.00°
Positions (direct):
Ni (0.175, 0.675, 0.500)
Ni (0.675, 0.825, 0.500)
Ni (0.825, 0.325, 0.500)
Ni (0.325, 0.175, 0.500)
Co (0.377, 0.877, 0.000)
Co (0.877, 0.623, 0.000)
Co (0.623, 0.123, 0.000)
Co (0.123, 0.377, 0.000)
Cr (0.000, 0.000, 0.000)
Cr (0.500, 0.500, 0.000)